A geometry-optimized Nb2NiO structure. Source: the Alexandria database, functional PBE with a Hubbard U.

POSCAR file:
```
Nb2NiO
1.0
4.795 0.000 0.000
0.000 4.795 0.000
2.397 2.397 5.633
Nb O Ni
4 2 2
Direct
0.190 0.625 0.250 Nb
0.560 0.125 0.250 Nb
0.375 0.440 0.750 Nb
0.875 0.810 0.750 Nb
0.250 0.750 0.500 O
0.500 0.500 0.000 O
0.000 0.000 0.000 Ni
0.750 0.250 0.500 Ni
```

Results
Symmetry: I-42d
Spin magnetization: 0.0 μB/f.u.
DFT total energy: -56.114 eV for the cell shown